1.
HoV2InO8 | PBE with a Hubbard U | relaxed Values from VASP.

Computed properties:
E	-88.3	eV per formula unit
N(E_F)	0.000	states/eV/cell
space-group type	I-4m2 (119)

Geometry as Quantum ESPRESSO input:
```
&SYSTEM
  ibrav = 0, nat = 12, ntyp = 4
/
ATOMIC_SPECIES
Ho 164.93 Ho.upf
V 50.94 V.upf
In 114.82 In.upf
O 16.00 O.upf
CELL_PARAMETERS angstrom
-3.689 -2.640 3.809
5.653 0.249 1.750
-1.857 5.595 -0.578
ATOMIC_POSITIONS crystal
Ho 0.250 0.750 0.500
V 0.750 0.250 0.500
V 0.500 0.500 0.000
In 0.000 0.000 0.000
O 0.385 0.075 0.310
O 0.325 0.514 0.189
O 0.325 0.137 0.811
O 0.765 0.075 0.690
O 0.863 0.675 0.189
O 0.925 0.235 0.310
O 0.925 0.615 0.690
O 0.486 0.675 0.811
```



2.
HoInWO6 | PBE with a Hubbard U | relaxed Values from VASP.

Computed properties:
E	-65.4	eV per formula unit
N(E_F)	0.000	states/eV/cell
space-group type	P4_2nm (102)

Geometry as Quantum ESPRESSO input:
```
&SYSTEM
  ibrav = 0, nat = 18, ntyp = 4
/
ATOMIC_SPECIES
Ho 164.93 Ho.upf
In 114.82 In.upf
W 183.84 W.upf
O 16.00 O.upf
CELL_PARAMETERS angstrom
-2.254 -3.656 -2.467
-2.455 -1.262 4.113
-7.265 6.134 -2.454
ATOMIC_POSITIONS crystal
Ho 0.500 0.500 0.498
Ho 0.000 0.000 0.998
In 0.500 0.500 0.168
In 0.000 0.000 0.668
W 0.500 0.500 0.832
W 0.000 0.000 0.332
O 0.183 0.817 0.484
O 0.817 0.183 0.484
O 0.317 0.317 0.984
O 0.683 0.683 0.984
O 0.189 0.811 0.187
O 0.811 0.189 0.187
O 0.311 0.311 0.687
O 0.689 0.689 0.687
O 0.781 0.219 0.830
O 0.219 0.781 0.830
O 0.719 0.719 0.330
O 0.281 0.281 0.330
```



3.
HoIn2WO8 | PBE with a Hubbard U | relaxed Values from VASP.

Computed properties:
E	-80.8	eV per formula unit
N(E_F)	5.294	states/eV/cell
space-group type	Cmmm (65)

Geometry as Quantum ESPRESSO input:
```
&SYSTEM
  ibrav = 0, nat = 12, ntyp = 4
/
ATOMIC_SPECIES
Ho 164.93 Ho.upf
In 114.82 In.upf
W 183.84 W.upf
O 16.00 O.upf
CELL_PARAMETERS angstrom
4.933 -0.051 -0.003
-0.025 4.930 -0.005
0.004 0.007 6.671
ATOMIC_POSITIONS crystal
Ho 0.000 0.000 0.500
In 0.500 0.500 0.756
In 0.500 0.500 0.244
W 0.000 0.000 0.000
O 0.186 0.814 0.216
O 0.714 0.714 0.000
O 0.814 0.186 0.216
O 0.814 0.186 0.784
O 0.286 0.286 0.000
O 0.186 0.814 0.784
O 0.687 0.688 0.500
O 0.313 0.312 0.500
```